The following is a GGA-PBE calculation of crystalline Sc2TaWC6 at its relaxed geometry, from OQMD via LeMat-Bulk.

Cell lengths 4.6786, 4.6786, 19.4406 Å; angles 90.00, 90.00, 120.00 degrees
Space group R-3m (No. 166, hexagonal axes)
One atom of each set of equivalent atoms:
Sc 0.0000 0.0000 0.2231 x6
Ta 0.0000 0.0000 0.0000 x3
W 0.0000 0.0000 0.5000 x3
C 0.1113 0.2225 0.1043 x18

Results
The value obtained for the total magnetization is 0.003 μB per atom. As for the final energy: -8.89 eV/atom.